A relaxed La5PrCo3 crystal. Source: Alexandria via LeMat-Bulk, functional GGA-PBE.

Cell lengths 7.807, 10.597, 10.597 Å; angles 52.15, 65.67, 96.46 degrees
Atoms (fractional coordinates):
La: 0.000 0.306 0.694
La: 0.091 0.898 0.808
La: 0.909 0.102 0.192
La: 0.668 0.360 0.307
La: 0.754 0.563 0.809
La: 0.332 0.640 0.693
La: 0.246 0.437 0.191
La: 0.332 0.025 0.307
La: 0.668 0.975 0.693
La: 0.000 0.694 0.306
Pr: 0.571 0.767 0.196
Pr: 0.429 0.233 0.804
Co: 0.671 0.666 0.995
Co: 0.500 0.000 0.500
Co: 0.329 0.334 0.005
Co: 0.159 0.665 0.505
Co: 0.841 0.335 0.495
Co: 0.000 0.000 0.000

Calculated values
E_form	-0.09	eV/atom
theoretical density	6.19	g/cm3
magnetization	0.00	μB/atom
total energy	-5.730	eV/atom
space group	C2/m, No. 12